Record 1
# ReBPS2

A relaxed structure of ReBPS2 (GGA-PBEsol, the Alexandria database).

The structure in POSCAR format:
```
ReBPS2
1.0
4.6526 0.0000 0.0000
0.0000 4.5461 0.0000
0.0000 0.0000 4.5461
Re S B P
1 2 1 1
Cartesian
0.0000 0.0000 0.0000
0.0000 0.0000 2.2730
0.0000 2.2730 0.0000
2.3263 2.2730 2.2730
2.3263 0.0000 0.0000
```

Summary:
The value obtained for the formation energy (no corrections) is 1.29 eV per atom. The space-group type is P4/mmm, No. 123.


Record 2
# SrPrGaCuO5

A relaxed structure of SrPrGaCuO5 (GGA-PBEsol, the Alexandria database).

The structure in POSCAR format:
```
SrPrGaCuO5
1.0
5.2573 -0.0005 0.0000
-0.0096 5.5034 0.0000
-2.6238 -2.7515 8.1925
Sr Pr Ga Cu O
2 2 2 2 10
Cartesian
1.3245 -1.3063 5.8982
3.9484 1.4452 2.2943
1.3295 3.9998 2.4224
-1.2943 1.2483 5.7701
1.5398 1.0342 0.0000
4.1187 4.5097 0.0000
-1.3114 4.0933 4.1023
1.3220 1.3414 4.0902
-1.4532 -0.9907 6.5644
3.7321 3.8771 1.6646
1.1706 1.7608 1.6281
1.1083 1.1257 6.5280
0.7868 4.7608 0.0000
3.4031 0.7438 0.0000
2.6482 -0.0190 4.0231
2.6436 2.7063 4.2007
0.0147 2.7330 4.1694
0.0197 -0.0451 3.9918
```

Summary:
The value obtained for the formation energy (no corrections) is -2.26 eV per atom. The space-group type is Cm, No. 8.


Record 3
# La2MoO6

A relaxed structure of La2MoO6 (GGA-PBEsol, the Alexandria database).

The structure in POSCAR format:
```
La2MoO6
1.0
-3.3870 3.9814 -2.3558
-1.0227 -3.4919 -4.4310
-10.3424 -6.3558 11.1052
La Mo O
8 4 24
Cartesian
-6.3127 -1.7559 -0.8687
-12.0749 -3.0655 5.2027
-2.6772 -2.8008 -0.8844
-10.6443 -3.8656 1.7936
-3.8594 0.9358 0.1532
-8.4395 -4.1104 5.1870
-4.1078 -2.0007 2.5247
-10.8928 -6.8021 4.1651
-2.2049 0.2447 -3.3934
-7.9671 -1.0648 2.6780
-6.7850 -4.8015 1.6404
0.0000 0.0000 0.0000
-10.0188 -2.6946 6.2906
-4.7454 -3.1335 -1.9617
-5.9380 0.5675 -0.9694
-8.8020 -6.4720 5.2771
-10.4956 -4.4813 4.0991
-6.4493 -1.1785 -3.1849
-4.2340 -1.3875 0.2539
-8.3253 -4.6853 7.4685
-6.2999 -3.1013 1.4389
-8.4603 -2.7641 2.8670
-9.2536 -0.2322 3.5827
-2.3452 -0.2784 -1.6984
-2.3172 -2.6584 -3.5387
-6.9297 -5.3109 3.3392
-8.4199 -5.1588 1.0353
-6.3279 -0.7213 3.2792
-7.8268 -0.5416 0.9829
-11.2608 -6.9436 6.8070
-12.0541 -4.4117 7.5227
-3.8721 2.2812 -2.1544
-5.4905 -5.6350 0.7480
-10.1977 -5.8463 9.4063
-13.1172 -5.5090 4.9234
-3.8441 -0.0988 -3.9947
```

Summary:
The value obtained for the formation energy (no corrections) is -2.97 eV per atom. The space-group type is I4_1/acd, No. 142.


Record 4
# CdSN2

A relaxed structure of CdSN2 (GGA-PBEsol, the Alexandria database).

The structure in POSCAR format:
```
CdSN2
1.0
4.6323 0.0000 0.0000
0.0000 4.6323 0.0000
-2.3162 -2.3162 4.9799
S N Cd
2 4 2
Cartesian
2.3162 0.0000 2.4899
2.3162 2.3162 0.0000
3.1241 1.1581 1.2450
1.5082 3.4743 1.2450
1.1581 0.8079 3.7349
-1.1581 -0.8079 3.7349
0.0000 2.3162 2.4899
0.0000 0.0000 0.0000
```

Summary:
The value obtained for the formation energy (no corrections) is 0.95 eV per atom. The space-group type is I-42d, No. 122.


Record 5
# NiHg2P

A relaxed structure of NiHg2P (GGA-PBEsol, the Alexandria database).

The structure in POSCAR format:
```
NiHg2P
1.0
-3.4582 -1.7359 1.0962
1.8846 -1.8224 3.0596
-0.0584 5.0053 0.3643
Hg Ni P
2 1 1
Cartesian
-1.2097 -0.1651 3.2998
-0.4224 1.6121 1.2204
-1.7291 -0.8679 0.5481
0.9423 -0.9112 1.5298
```

Summary:
As for the formation energy: 41 kJ/mol of atoms. The space-group type is I4/mmm, No. 139.


Record 6
# CrAs2Pb

A relaxed structure of CrAs2Pb (GGA-PBEsol, the Alexandria database).

The structure in POSCAR format:
```
CrAs2Pb
1.0
3.0751 0.0000 0.0000
0.0000 3.0751 0.0000
0.0000 0.0000 7.7438
As Cr Pb
2 1 1
Cartesian
0.0000 0.0000 6.3846
0.0000 0.0000 1.3592
1.5375 1.5375 0.0000
1.5375 1.5375 3.8719
```

Summary:
As for the formation energy: 6 kJ/mol of atoms. The space-group type is P4/mmm, No. 123.


Record 7
# CaTl2Pb

A relaxed structure of CaTl2Pb (GGA-PBEsol, the Alexandria database).

The structure in POSCAR format:
```
CaTl2Pb
1.0
3.7417 0.0000 0.0000
0.0000 4.3191 0.0000
0.0000 0.0000 6.9308
Pb Tl Ca
1 2 1
Cartesian
1.8709 2.1596 3.4654
0.0000 0.0000 5.1527
0.0000 0.0000 1.7782
1.8709 2.1596 0.0000
```

Summary:
As for the formation energy: -23 kJ/mol of atoms. The space-group type is Pmmm, No. 47.


Record 8
# BaReHg2W

A relaxed structure of BaReHg2W (GGA-PBEsol, the Alexandria database).

The structure in POSCAR format:
```
BaReHg2W
1.0
4.7550 0.0000 0.0000
0.0000 5.3139 0.0000
0.0000 0.0000 5.3139
Re Hg W Ba
1 2 1 1
Cartesian
0.0000 0.0000 0.0000
0.0000 0.0000 2.6569
0.0000 2.6569 0.0000
2.3775 0.0000 0.0000
2.3775 2.6569 2.6569
```

Summary:
As for the formation energy: 75 kJ/mol of atoms. The space-group type is P4/mmm, No. 123.